A plane-wave DFT calculation with PBE with a Hubbard U was carried out for crystalline MgFe3F at its relaxed geometry.

extended XYZ file:
```
5
Lattice="-3.312 3.187 -1.552 -2.847 -1.127 3.762 2.111 3.479 2.640" Properties=species:S:1:pos:R:3 pbc="T T T"
Mg 0.000 0.000 0.000
Fe -1.424 -0.563 1.881
Fe 1.056 1.740 1.320
Fe -1.656 1.593 -0.776
F -2.024 2.770 2.425
```

Output
Energy relative to the lowest polymorph listed for this composition in meV per atom: 711
Electronic total energy in eV per atom: -2.902
Space group: Pm-3m (221)
Magnetic moment in μB/f.u.: 9.9